The following is a PBE calculation of a relaxed TaHgTe2 crystal, from the Alexandria database.

Computed properties:
As for the uncorrected energy: -4.843 eV/atom. For the formation energy (no corrections), the calculation gives -0.933 eV/f.u.

Cell lengths 6.3673, 3.6754, 10.3621 Å; angles 90.00, 90.33, 90.00 degrees
Space group C2/m (No. 12)
Unique sites:
Ta: 0.0000 0.0000 0.0000 [2 per cell]
Hg: 0.0000 0.0000 0.5000 [2 per cell]
Te: 0.1684 0.5000 0.1776 [4 per cell]

---

The following is a PBE calculation of a relaxed Pr4CdGa2 crystal, from the Alexandria database.

Computed properties:
As for the uncorrected energy: -3.972 eV/atom. For the energy above the most stable polymorph in this dataset, the calculation gives 118 meV/atom. As for the energy of formation: -0.245 eV/atom.

Cell lengths 5.2857, 5.2857, 26.7458 Å; angles 90.00, 90.00, 120.00 degrees
Space group R-3m (No. 166, hexagonal axes)
Unique sites:
Pr: 0.0000 0.0000 0.1196 [6 per cell]
Pr: 0.0000 0.0000 0.2890 [6 per cell]
Cd: 0.0000 0.0000 0.5000 [3 per cell]
Ga: 0.0000 0.0000 0.4019 [6 per cell]

---

The following is a PBE calculation of a relaxed TaSbPt crystal, from the Alexandria database.

Computed properties:
As for the uncorrected energy: -7.492 eV/atom. For the formation energy (no corrections), the calculation gives -0.461 eV/f.u.

Cell lengths 3.1319, 3.1319, 11.8280 Å; angles 90.00, 90.00, 90.00 degrees
Space group I4mm (No. 107)
Unique sites:
Ta: 0.0000 0.0000 0.0000 [2 per cell]
Sb: 0.0000 0.0000 0.6775 [2 per cell]
Pt: 0.0000 0.0000 0.3630 [2 per cell]

---

The following is a PBE calculation of a relaxed CeZnFeGe2 crystal, from the Alexandria database.

Computed properties:
As for the uncorrected energy: -5.321 eV/atom. As for the energy of formation: -0.340 eV/atom.

Cell lengths 5.5107, 5.6665, 5.7589 Å; angles 90.00, 90.00, 90.00 degrees
Space group Pmma (No. 51)
Unique sites:
Ce: 0.2500 0.0000 0.2320 [2 per cell]
Zn: 0.2500 0.5000 0.3773 [2 per cell]
Fe: 0.0000 0.5000 0.0000 [2 per cell]
Ge: 0.2500 0.2401 0.7473 [4 per cell]

---

The following is a PBE calculation of a relaxed LaOs2Pb crystal, from the Alexandria database.

Computed properties:
As for the uncorrected energy: -7.075 eV/atom. As for the energy of formation: 0.699 eV/atom.

Cell lengths 3.4967, 3.4967, 6.8127 Å; angles 90.00, 90.00, 90.00 degrees
Space group P4/mmm (No. 123)
Unique sites:
La: 0.0000 0.0000 0.0000 [1 per cell]
Os: 0.5000 0.5000 0.2771 [2 per cell]
Pb: 0.0000 0.0000 0.5000 [1 per cell]

---

The following is a PBE calculation of a relaxed TbCePrN3 crystal, from the Alexandria database.

Computed properties:
As for the uncorrected energy: -8.025 eV/atom. For the formation energy (no corrections), the calculation gives -7.833 eV/f.u.

Cell lengths 6.1148, 3.5499, 9.2797 Å; angles 90.00, 101.68, 90.00 degrees
Space group P2_1/m (No. 11)
Unique sites:
Tb: 0.2326 0.2500 0.4569 [2 per cell]
Ce: 0.1504 0.7500 0.1455 [2 per cell]
Pr: 0.3362 0.7500 0.8012 [2 per cell]
N: 0.0377 0.2500 0.6534 [2 per cell]
N: 0.2495 0.2500 0.0049 [2 per cell]
N: 0.4577 0.7500 0.3355 [2 per cell]

---

The following is a PBE calculation of a relaxed Pr3Ag crystal, from the Alexandria database.

Computed properties:
As for the uncorrected energy: -4.272 eV/atom. For the energy above the most stable polymorph in this dataset, the calculation gives 110 meV/atom. As for the energy of formation: 0.026 eV/atom.

Cell lengths 7.1857, 7.1857, 5.4469 Å; angles 90.00, 90.00, 120.00 degrees
Space group P6_3/mmc (No. 194)
Unique sites:
Pr: 0.1759 0.3518 0.2500 [6 per cell]
Ag: 0.3333 0.6667 0.7500 [2 per cell]

---

The following is a PBE calculation of a relaxed Sb3Se2 crystal, from the Alexandria database.

Computed properties:
As for the uncorrected energy: -3.795 eV/atom. For the formation energy (no corrections), the calculation gives 0.361 eV/f.u. For the energy above the most stable polymorph in this dataset, the calculation gives 188 meV/atom.

Cell lengths 5.0985, 5.0985, 7.2206 Å; angles 90.00, 90.00, 120.00 degrees
Space group P-3m1 (No. 164)
Unique sites:
Sb: 0.0000 0.0000 0.0000 [1 per cell]
Sb: 0.3333 0.6667 0.4959 [2 per cell]
Se: 0.3333 0.6667 0.8617 [2 per cell]

---

Question: Which of these has the highest uncorrected energy?
Answer: Sb3Se2